A plane-wave DFT calculation with PBE was carried out for crystalline ScCuSnTe3 at its relaxed geometry.

Output
Excess energy over the best structure of this formula in the dataset in meV per atom: 0.0

Lattice parameters (Å, degrees): 10.7968 4.1649 14.2828 90.00 90.00 90.00
With the nearest neighbours (Å) after each atom.
Space group Pnma (No. 62)
Unique sites:
Sc1 0.0231 0.2500 0.2441 x4  6 Te 2.93-2.99, 2 Cu 3.28
Cu1 0.2443 0.2500 0.7202 x4  4 Te 2.59-2.68
Sn1 0.2235 0.7500 0.5149 x4  7 Te 3.20-3.39
Te1 0.0403 0.2500 0.6138 x4  1 Cu 2.68, 2 Sc 2.99
Te2 0.0723 0.7500 0.1036 x4  1 Cu 2.59
Te3 0.2326 0.7500 0.8339 x4  2 Cu 2.64, 1 Sc 2.93

***

A plane-wave DFT calculation with PBE was carried out for crystalline Er3Zr3NiTe2 at its relaxed geometry.

Output
Excess energy over the best structure of this formula in the dataset in meV per atom: 0.0

Lattice parameters (Å, degrees): 7.9544 7.9544 3.8782 90.00 90.00 120.00
With the nearest neighbours (Å) after each atom.
Space group P-62m (No. 189)
Unique sites:
Er1 0.0000 0.6018 0.0000 x3  4 Te 3.11, 1 Ni 3.17, 4 Zr 3.37
Zr1 0.0000 0.2313 0.5000 x3  2 Ni 2.67
Ni1 0.0000 0.0000 0.0000 x1  6 Zr 2.67
Te1 0.3333 0.6667 0.5000 x2  6 Er 3.11, 3 Zr 3.14

***

A plane-wave DFT calculation with PBE was carried out for crystalline CdBi2 at its relaxed geometry.

Output
Excess energy over the best structure of this formula in the dataset in meV per atom: 53.1

Lattice parameters (Å, degrees): 3.5481 3.5481 13.6881 90.00 90.00 90.00
With the nearest neighbours (Å) after each atom.
Space group I4/mmm (No. 139)
Unique sites:
Cd1 0.0000 0.0000 0.0000 x2  8 Bi 3.29, 4 Cd 3.55
Bi1 0.0000 0.0000 0.3441 x4  4 Cd 3.29, 8 Bi 3.55-3.60

***

A plane-wave DFT calculation with PBE was carried out for crystalline DyEr2FeCo8 at its relaxed geometry.

Output
DFT formation energy in kJ/mol of atoms: -19

Lattice parameters (Å, degrees): 4.9846 4.9846 23.8764 90.00 90.00 120.00
With the nearest neighbours (Å) after each atom.
Space group R-3m (No. 166, hexagonal axes)
Unique sites:
Dy1 0.0000 0.0000 0.0000 x3  18 Co 2.88-3.17
Er1 0.0000 0.0000 0.1397 x6  9 Co 2.84-3.02, 3 Fe 2.95, 3 Er 3.15
Fe1 0.0000 0.0000 0.5000 x3  6 Co 2.48
Co1 0.0000 0.0000 0.3341 x6  6 Co 2.43-2.44
Co2 0.0033 0.5016 0.9177 x18  6 Co 2.43-2.52, 1 Fe 2.48